Record 1
Density functional theory data (PBE) for a relaxed structure of Na3Cd2In2.

Values from the calculation:
For the density of states at the Fermi level, the calculation gives 2.9 states/eV/cell. The mass density comes out at 4.89 Mg/m³. The energy above the most stable polymorph in this dataset is 0 meV per atom. For the formation energy, the calculation gives -0.12 eV per atom.

a b c (Å): 5.1557 5.1557 8.2547
angles (deg): 90.34 107.99 119.73
Positions (direct):
In: 0.8359 0.4179 0.2538
In: 0.1641 0.5821 0.7462
Na: 0.2815 0.1408 0.4222
Na: 0.7185 0.8592 0.5778
Na: 0.0000 0.0000 0.0000
Cd: 0.4470 0.7240 0.1710
Cd: 0.5530 0.2760 0.8290

Record 2
Density functional theory data (PBE) for a relaxed structure of K2NaTl2.

Values from the calculation:
For the density of states at the Fermi level, the calculation gives 10.6 states/eV/cell. The mass density comes out at 2.97 Mg/m³. The energy above the most stable polymorph in this dataset is 106 meV per atom. For the formation energy, the calculation gives 0.07 eV per atom.

a b c (Å): 11.4231 7.1753 9.6920
angles (deg): 111.73 126.11 90.00
Positions (direct):
Na: 0.2500 0.5000 0.0000
Na: 0.7500 0.5000 0.0000
K: 0.6537 0.2718 0.3074
K: 0.8463 0.9644 0.6926
K: 0.1537 0.0356 0.3074
K: 0.3463 0.7282 0.6926
Tl: 0.9163 0.5452 0.8325
Tl: 0.4163 0.2873 0.8325
Tl: 0.5837 0.7127 0.1675
Tl: 0.0837 0.4548 0.1675

Record 3
Density functional theory data (PBE) for a relaxed structure of TbCe3Ir8.

Values from the calculation:
For the density of states at the Fermi level, the calculation gives 16.7 states/eV/cell. The mass density comes out at 15.88 Mg/m³. For the formation energy, the calculation gives -0.78 eV per atom.

a b c (Å): 5.3910 5.3910 9.3312
angles (deg): 73.21 73.21 60.00
Positions (direct):
Ir: 0.9376 0.4376 0.6872
Ir: 0.1877 0.1877 0.4370
Ir: 0.6874 0.6874 0.9377
Ir: 0.9376 0.9376 0.6872
Ir: 0.4376 0.9376 0.6872
Ir: 0.4370 0.9381 0.1880
Ir: 0.9381 0.4370 0.1880
Ir: 0.4370 0.4370 0.1880
Ce: 0.3750 0.3750 0.8749
Ce: 0.4996 0.4996 0.5011
Ce: 0.0003 0.0003 0.9990
Tb: 0.8750 0.8750 0.3750

Record 4
Density functional theory data (PBE) for a relaxed structure of FeMoAs.

Values from the calculation:
For the density of states at the Fermi level, the calculation gives 2.7 states/eV/cell. The mass density comes out at 8.76 Mg/m³. For the formation energy, the calculation gives 0.22 eV per atom.

a b c (Å): 2.8392 2.8392 6.1567
angles (deg): 90.00 90.00 120.00
Positions (direct):
As: 0.0000 0.0000 0.0187
Fe: 0.6667 0.3333 0.3285
Mo: 0.3333 0.6667 0.6528

Record 5
Density functional theory data (PBE) for a relaxed structure of Sm2DyHo2Mg5.

Values from the calculation:
For the density of states at the Fermi level, the calculation gives 13.8 states/eV/cell. The mass density comes out at 5.34 Mg/m³. For the formation energy, the calculation gives 0.05 eV per atom.

a b c (Å): 5.0713 10.5942 10.5942
angles (deg): 90.00 90.00 90.00
Positions (direct):
Mg: 0.5000 0.5000 0.0000
Mg: 0.5000 0.6980 0.4306
Mg: 0.5000 0.0694 0.8020
Mg: 0.5000 0.3020 0.5694
Mg: 0.5000 0.1980 0.0694
Mg: 0.5000 0.4306 0.3020
Mg: 0.5000 0.0000 0.5000
Mg: 0.5000 0.5694 0.6980
Mg: 0.5000 0.8020 0.9306
Mg: 0.5000 0.9306 0.1980
Ho: 0.0000 0.6195 0.8805
Ho: 0.0000 0.1195 0.6195
Ho: 0.0000 0.3805 0.1195
Ho: 0.0000 0.8805 0.3805
Sm: 0.0000 0.6774 0.1774
Sm: 0.0000 0.8226 0.6774
Sm: 0.0000 0.3226 0.8226
Sm: 0.0000 0.1774 0.3226
Dy: 0.0000 0.5000 0.5000
Dy: 0.0000 0.0000 0.0000

Record 6
Density functional theory data (PBE) for a relaxed structure of CsSb2TeI.

Values from the calculation:
For the density of states at the Fermi level, the calculation gives 10.3 states/eV/cell. The mass density comes out at 2.39 Mg/m³. The energy above the most stable polymorph in this dataset is 1118 meV per atom. The uncorrected formation energy comes out at 1.14 eV/atom.

a b c (Å): 7.7169 7.7169 7.3507
angles (deg): 90.00 90.00 90.00
Positions (direct):
Te: 0.0000 0.0000 0.5000
Sb: 0.5000 0.0000 0.0000
Sb: 0.0000 0.5000 0.0000
Cs: 0.0000 0.0000 0.0000
I: 0.5000 0.5000 0.5000

Record 7
Density functional theory data (PBE) for a relaxed structure of Pd2Pt5Rh.

Values from the calculation:
For the density of states at the Fermi level, the calculation gives 16.9 states/eV/cell. The mass density comes out at 17.42 Mg/m³. For the formation energy, the calculation gives -0.02 eV per atom.

a b c (Å): 4.8334 4.8334 6.8498
angles (deg): 118.15 118.15 70.30
Positions (direct):
Rh: 0.0000 0.0000 0.0000
Pd: 0.2488 0.2488 0.4976
Pd: 0.7512 0.7512 0.5024
Pt: 0.8762 0.3762 0.7523
Pt: 0.6238 0.1238 0.2477
Pt: 0.5000 0.5000 0.0000
Pt: 0.1238 0.6238 0.2477
Pt: 0.3762 0.8762 0.7523

Record 8
Density functional theory data (PBE) for a relaxed structure of SrLiCdPd.

Values from the calculation:
For the density of states at the Fermi level, the calculation gives 2.1 states/eV/cell. The mass density comes out at 5.19 Mg/m³. For the formation energy, the calculation gives -0.41 eV per atom.

a b c (Å): 4.7216 4.7153 5.8911
angles (deg): 113.91 90.00 120.04
Positions (direct):
Li: 0.8157 0.6314 0.0891
Cd: 0.1106 0.2212 0.9738
Sr: 0.6207 0.2415 0.5048
Pd: 0.4193 0.8385 0.8996

Record 9
Density functional theory data (PBE) for a relaxed structure of GdSc2Ag.

Values from the calculation:
For the density of states at the Fermi level, the calculation gives 6.0 states/eV/cell. The mass density comes out at 6.11 Mg/m³. The energy above the most stable polymorph in this dataset is 74 meV per atom. For the formation energy, the calculation gives -0.01 eV per atom.

a b c (Å): 4.7626 4.5009 4.5009
angles (deg): 90.00 90.00 90.00
Positions (direct):
Sc: 0.0000 0.0000 0.5000
Sc: 0.0000 0.5000 0.0000
Ag: 0.5000 0.0000 0.0000
Gd: 0.5000 0.5000 0.5000

Record 10
Density functional theory data (PBE) for a relaxed structure of LaTbNiPd.

Values from the calculation:
For the density of states at the Fermi level, the calculation gives 2.4 states/eV/cell. The mass density comes out at 8.35 Mg/m³. The energy above the most stable polymorph in this dataset is 0 meV per atom. For the formation energy, the calculation gives -0.60 eV per atom.

a b c (Å): 3.8650 4.5470 5.5861
angles (deg): 90.00 110.24 90.00
Positions (direct):
Pd: 0.4225 0.0000 0.8451
Tb: 0.1350 0.0000 0.2700
La: 0.8584 0.5000 0.7167
Ni: 0.5841 0.5000 0.1682

Record 11
Density functional theory data (PBE) for a relaxed structure of Ti4FeNi.

Values from the calculation:
For the density of states at the Fermi level, the calculation gives 5.4 states/eV/cell. The mass density comes out at 5.88 Mg/m³. The energy above the most stable polymorph in this dataset is 1 meV per atom. For the formation energy, the calculation gives -0.26 eV per atom.

a b c (Å): 2.9883 2.9883 9.6790
angles (deg): 90.00 90.00 90.00
Positions (direct):
Ti: 0.0000 0.0000 0.3402
Ti: 0.5000 0.5000 0.1518
Ti: 0.0000 0.0000 0.6598
Ti: 0.5000 0.5000 0.8482
Ni: 0.5000 0.5000 0.5000
Fe: 0.0000 0.0000 0.0000

Record 12
Density functional theory data (PBE) for a relaxed structure of Y2Ho2Er5.

Values from the calculation:
For the density of states at the Fermi level, the calculation gives 19.7 states/eV/cell. The mass density comes out at 7.90 Mg/m³. The energy above the most stable polymorph in this dataset is 0 meV per atom. For the formation energy, the calculation gives 0.12 eV per atom.

a b c (Å): 5.7148 8.6317 9.2952
angles (deg): 40.98 72.10 70.67
Positions (direct):
Er: 0.0000 0.0000 0.0000
Er: 0.7915 0.3473 0.0697
Er: 0.3196 0.0023 0.3585
Er: 0.2085 0.6527 0.9303
Er: 0.6804 0.9977 0.6415
Y: 0.4376 0.3364 0.7884
Y: 0.5624 0.6636 0.2116
Ho: 0.8987 0.6890 0.5135
Ho: 0.1013 0.3110 0.4865